A plane-wave DFT calculation with PBE was carried out for a geometry-optimized CaTa2Cd structure.

Properties
- Formation enthalpy at 0 K: 0.570 eV/atom
- Total energy: -6.085 eV per atom

The structure in POSCAR format:
```
CaTa2Cd
1.0
-3.448 -5.039 0.020
-0.985 -2.781 -5.346
3.822 1.815 4.402
Cd Ta Ca
1 2 1
Direct
0.768 0.268 0.500
0.013 0.013 0.000
0.219 0.719 0.500
0.500 0.500 0.000
```

A plane-wave DFT calculation with PBE was carried out for a geometry-optimized BaCaW structure.

Properties
- Formation enthalpy at 0 K: 1.258 eV/atom
- Energy above the lowest structure with this stoichiometry: 0.148 eV/atom
- Total energy: -4.368 eV per atom

The structure in POSCAR format:
```
BaCaW
1.0
-0.676 5.725 -1.768
-4.745 1.566 -3.376
2.265 -2.152 5.157
Ca Ba W
1 1 1
Direct
0.319 0.319 0.000
0.009 0.009 0.000
0.671 0.671 0.000
```

A plane-wave DFT calculation with PBE was carried out for a geometry-optimized ZrAlCr2 structure.

Properties
- Formation enthalpy at 0 K: 0.714 eV/atom
- Total energy: -7.170 eV per atom

The structure in POSCAR format:
```
ZrAlCr2
1.0
7.015 0.000 0.000
0.000 7.015 0.000
3.508 3.508 2.643
Cr Al Zr
4 2 2
Direct
0.150 0.625 0.250
0.600 0.125 0.250
0.875 0.850 0.750
0.375 0.400 0.750
0.250 0.750 0.500
0.500 0.500 0.000
0.750 0.250 0.500
0.000 0.000 0.000
```

A plane-wave DFT calculation with PBE was carried out for a geometry-optimized BaAsPb structure.

Properties
- Formation enthalpy at 0 K: -0.704 eV/atom
- Energy above the lowest structure with this stoichiometry: 0.000 eV/atom
- Total energy: -4.131 eV per atom

The structure in POSCAR format:
```
BaAsPb
1.0
-0.712 2.891 -3.709
-4.653 0.108 0.977
1.369 7.621 5.678
Pb As Ba
2 2 2
Direct
0.000 0.500 0.054
0.500 0.000 0.946
0.000 0.500 0.331
0.500 0.000 0.669
0.500 0.000 0.326
0.000 0.500 0.674
```

A plane-wave DFT calculation with PBE was carried out for a geometry-optimized TlCuC structure.

Properties
- Formation enthalpy at 0 K: 0.610 eV/atom
- Total energy: -4.619 eV per atom

The structure in POSCAR format:
```
TlCuC
1.0
-0.692 -4.361 -4.380
-1.579 -3.473 3.155
-3.911 2.403 0.680
Cu Tl C
2 2 2
Direct
0.131 0.999 0.437
0.779 0.450 0.261
0.406 0.829 0.074
0.605 0.285 0.674
0.125 0.372 0.434
0.111 0.630 0.427
```

A plane-wave DFT calculation with PBE was carried out for a geometry-optimized PaNbRu structure.

Properties
- Formation enthalpy at 0 K: -0.198 eV/atom
- Energy above the lowest structure with this stoichiometry: 0.000 eV/atom
- Total energy: -9.812 eV per atom

The structure in POSCAR format:
```
PaNbRu
1.0
-3.194 0.241 1.251
1.188 -0.658 3.159
1.293 9.448 1.482
Pa Ru Nb
2 2 2
Direct
0.500 0.000 0.105
0.000 0.500 0.895
0.000 0.500 0.252
0.500 0.000 0.748
0.000 0.500 0.571
0.500 0.000 0.429
```

A plane-wave DFT calculation with PBE was carried out for a geometry-optimized Na3YPa2Se6 structure.

Properties
- Raw formation energy: -16.78 eV per formula unit
- Total energy: -5.592 eV per atom

The structure in POSCAR format:
```
Na3YPa2Se6
1.0
-3.976 5.604 1.800
0.491 -5.563 4.390
6.834 2.992 1.110
Se Y Pa Na
6 1 2 3
Direct
0.079 0.411 0.236
0.411 0.079 0.236
0.746 0.746 0.236
0.921 0.589 0.764
0.589 0.921 0.764
0.254 0.254 0.764
0.000 0.000 0.000
0.667 0.333 0.000
0.333 0.667 0.000
0.835 0.165 0.500
0.500 0.500 0.500
0.165 0.835 0.500
```

A plane-wave DFT calculation with PBE was carried out for a geometry-optimized Cd4O3F structure.

Properties
- Raw formation energy: -8.96 eV per formula unit
- Energy above the lowest structure with this stoichiometry: 0.016 eV/atom
- Total energy: -3.671 eV per atom

The structure in POSCAR format:
```
Cd4O3F
1.0
-1.297 2.270 -2.645
-4.120 -4.510 -1.849
-2.818 3.589 4.462
O Cd F
3 4 1
Direct
0.500 0.443 0.068
0.000 0.937 0.063
0.500 0.932 0.557
0.000 0.303 0.164
0.500 0.295 0.705
0.000 0.836 0.697
0.500 0.815 0.185
0.000 0.440 0.560
```